Density functional theory data (GGA-PBE) for a relaxed BaGe2TeRh crystal.

Cell lengths 5.818, 6.269, 5.818 Å; angles 90.00, 90.00, 90.00 degrees
Site moments in Bohr magnetons follow the coordinates.
Positions (direct):
Ba1 0.000 0.000 0.000  -0.01
Te1 0.000 0.500 0.000  0.02
Ge1 0.000 0.000 0.500  -0.07
Ge2 0.500 0.000 0.000  -0.05
Rh1 0.500 0.500 0.500  1.31

Summary:
space-group type: No. 123
formation energy without anion corrections: 1.596 eV/atom